(1)
The following is a GGA-PBE calculation of an optimized crystal structure of MgTa2Cr, from Alexandria.

Values from the calculation:
total magnetic moment: 0.00 Bohr magnetons per cell
calculated total energy: -8.41 eV/atom
formation energy: 0.32 eV per atom
ρ: 10.78 g/cm³
symmetry: Imm2

Lattice parameters (Å, degrees): 5.3929 5.3929 5.3929 145.36 130.05 62.21
Last column: nearest neighbours and their distance in Å.
Positions (direct):
Cr1 0.5127 0.5127 0.0000  2 Ta 2.49, 2 Mg 2.74
Ta1 0.9968 0.9968 0.0000  4 Cr 2.79, 4 Mg 3.01-3.08, 4 Ta 3.03-3.06
Mg1 0.2720 0.7720 0.5000  2 Cr 2.74, 6 Ta 2.83-3.01
Ta2 0.7184 0.2184 0.5000  2 Cr 2.49

(2)
The following is a GGA-PBE calculation of an optimized crystal structure of MgTaCr2, from Alexandria.

Values from the calculation:
total magnetic moment: 0.00 Bohr magnetons per cell
calculated total energy: -7.87 eV/atom
formation energy: 0.30 eV per atom
ρ: 8.38 g/cm³
symmetry: Cmm2

Lattice parameters (Å, degrees): 2.7389 2.7389 8.8287 90.00 90.00 112.27
Last column: nearest neighbours and their distance in Å.
Positions (direct):
Ta1 0.5000 0.5000 0.7775  2 Cr 2.66, 4 Ta 2.74
Mg1 0.0000 0.0000 0.4803  6 Mg 2.74-3.05, 2 Cr 2.78, 2 Ta 3.04
Cr1 0.0000 0.0000 0.0244  2 Cr 2.29
Cr2 0.5000 0.5000 0.2178  2 Cr 2.29

(3)
The following is a GGA-PBE calculation of an optimized crystal structure of MgTa2Cr, from Alexandria.

Values from the calculation:
total magnetic moment: 2.64 Bohr magnetons per cell
calculated total energy: -8.41 eV/atom
formation energy: 0.32 eV per atom
ρ: 10.23 g/cm³
symmetry: P4/mmm

Lattice parameters (Å, degrees): 2.8806 2.8806 8.5682 90.00 90.00 90.00
Last column: nearest neighbours and their distance in Å.
Positions (direct):
Cr1 0.5000 0.5000 0.2500  8 Ta 2.75, 4 Cr 2.88
Mg1 0.5000 0.5000 0.7500  4 Mg 2.88, 8 Ta 3.18
Ta1 0.0000 0.0000 0.0352  4 Cr 2.75, 4 Ta 2.88
Ta2 0.0000 0.0000 0.4648  4 Cr 2.75, 4 Ta 2.88

(4)
The following is a GGA-PBE calculation of an optimized crystal structure of Mg3TaCr, from Alexandria.

Values from the calculation:
total magnetic moment: 0.00 Bohr magnetons per cell
energy above the most stable polymorph in this dataset: 0 meV/atom
calculated total energy: -3.66 eV/atom
formation energy: 1.59 eV per atom
ρ: 4.83 g/cm³
symmetry: Pm-3m

Lattice parameters (Å, degrees): 4.7216 4.7216 4.7216 90.00 90.00 90.00
Last column: nearest neighbours and their distance in Å.
Positions (direct):
Mg1 0.0000 0.0000 0.5000  2 Cr 2.36
Mg2 0.5000 0.0000 0.0000  2 Cr 2.36
Mg3 0.0000 0.5000 0.0000  2 Cr 2.36
Cr1 0.0000 0.0000 0.0000  6 Mg 2.36
Ta1 0.5000 0.5000 0.5000  12 Mg 3.34

(5)
The following is a GGA-PBE calculation of an optimized crystal structure of MgTa2Cr, from Alexandria.

Values from the calculation:
total magnetic moment: 2.94 Bohr magnetons per cell
calculated total energy: -8.35 eV/atom
formation energy: 0.38 eV per atom
ρ: 10.10 g/cm³
symmetry: P4mm

Lattice parameters (Å, degrees): 2.8981 2.8981 8.5737 90.00 90.00 90.00
Last column: nearest neighbours and their distance in Å.
Positions (direct):
Ta1 0.0000 0.0000 0.0083  8 Ta 2.90-3.06, 4 Mg 3.13
Cr1 0.0000 0.0000 0.4861  4 Ta 2.75, 4 Cr 2.90, 4 Mg 2.94
Ta2 0.5000 0.5000 0.2730  4 Cr 2.75, 8 Ta 2.90-3.06
Mg1 0.5000 0.5000 0.7327  4 Mg 2.90, 4 Cr 2.94, 4 Ta 3.13

(6)
The following is a GGA-PBE calculation of an optimized crystal structure of MgTaCr2, from Alexandria.

Values from the calculation:
total magnetic moment: 0.03 Bohr magnetons per cell
calculated total energy: -7.75 eV/atom
formation energy: 0.42 eV per atom
ρ: 8.16 g/cm³
symmetry: R3m

Lattice parameters (Å, degrees): 9.1018 9.1018 9.1018 18.01 18.01 18.01
Last column: nearest neighbours and their distance in Å.
Positions (direct):
Mg1 0.5069 0.5069 0.5069  6 Mg 2.85, 3 Cr 2.91, 3 Ta 3.12
Cr1 0.2629 0.2629 0.2629  3 Cr 2.28
Ta1 0.7418 0.7418 0.7418  6 Ta 2.85, 3 Cr 2.85, 3 Mg 3.12
Cr2 0.9884 0.9884 0.9884  3 Cr 2.28

Among the records above, which one has the highest ρ?
number 1

What is the formula in the third record?
MgTa2Cr

Number 3 is which compound?
MgTa2Cr